Compound: Li2FeO2F
Source: Alexandria via LeMat-Bulk
Functional: PBE+U
Structure: optimized geometry

POSCAR file:
```
Li2FeO2F
1.0
2.5713 -4.4761 0.0000
2.5713 4.4761 0.0000
-1.7394 0.0000 9.7105
Li Fe O F
8 4 8 4
Direct
0.0000 0.0000 0.0000
0.0725 0.4393 0.2461
0.2446 0.2337 0.7572
0.3904 0.0790 0.2518
0.5607 0.9275 0.7539
0.6497 0.3503 0.0000
0.7663 0.7554 0.2428
0.9210 0.6096 0.7482
0.1582 0.8418 0.5000
0.2975 0.7025 0.0000
0.4909 0.5091 0.5000
0.8250 0.1750 0.5000
0.0413 0.7135 0.1198
0.1192 0.1362 0.3837
0.1960 0.5471 0.6147
0.2865 0.9587 0.8802
0.4529 0.8040 0.3853
0.5320 0.2164 0.6166
0.7836 0.4680 0.3834
0.8638 0.8808 0.6163
0.3679 0.4024 0.1184
0.5976 0.6321 0.8816
0.6971 0.0403 0.1218
0.9597 0.3029 0.8782
```

Computed properties:
Uncorrected energy   -5.625 eV/atom
Energy relative to the lowest polymorph listed for this composition   56.3 meV/atom